A relaxed Li2LaH8Rh crystal, computed with PBE.

Summary:
* raw total energy: -48.441 eV/cell

a b c (Å): 4.4782 4.4782 6.2903
angles (deg): 90.00 90.00 120.00
Space group P-3m1 (No. 164)
One atom of each set of equivalent atoms:
Li  0.3333  0.6667  0.3839 [2 per cell]
La  0.0000  0.0000  0.0000 [1 per cell]
H  0.1712  0.3423  0.6581 [6 per cell]
H  0.3333  0.6667  0.0589 [2 per cell]
Rh  0.0000  0.0000  0.5000 [1 per cell]